## Sr2TmCd12Ag3 (PBE)

Data for an optimized crystal structure of Sr2TmCd12Ag3.

Computed properties:
DFT total energy, eV/atom: -1.45

Unit cell a=9.4163 b=9.4163 c=9.4163 alpha=54.60 beta=54.60 gamma=54.60
Closest atoms and distances in Å follow each position.
Fractional positions:
Ag1 0.5000 0.0000 0.0000  4 Cd 2.73
Cd1 0.4681 0.8294 0.8294  1 Ag 3.06, 4 Cd 3.12, 1 Tm 3.34, 1 Sr 3.41
Cd2 0.1474 0.7736 0.7736  2 Ag 2.73
Cd3 0.8294 0.8294 0.4681  1 Ag 3.06, 4 Cd 3.12, 1 Tm 3.34, 1 Sr 3.41
Cd4 0.8294 0.4681 0.8294  1 Ag 3.06, 4 Cd 3.12, 1 Tm 3.34, 1 Sr 3.41
Tm1 0.0000 0.0000 0.0000  12 Cd 3.07-3.34
Cd5 0.1706 0.1706 0.5319  1 Ag 3.06, 4 Cd 3.12, 1 Tm 3.34, 1 Sr 3.41
Cd6 0.1706 0.5319 0.1706  1 Ag 3.06, 4 Cd 3.12, 1 Tm 3.34, 1 Sr 3.41
Cd7 0.2264 0.2264 0.8526  2 Ag 2.73
Sr1 0.5882 0.5882 0.5882  6 Cd 3.17-3.41
Cd8 0.8526 0.2264 0.2264  2 Ag 2.73
Cd9 0.7736 0.7736 0.1474  2 Ag 2.73
Cd10 0.5319 0.1706 0.1706  1 Ag 3.06, 4 Cd 3.12, 1 Tm 3.34, 1 Sr 3.41
Ag2 0.0000 0.0000 0.5000  4 Cd 2.73
Sr2 0.4118 0.4118 0.4118  6 Cd 3.17-3.41
Cd11 0.2264 0.8526 0.2264  2 Ag 2.73
Cd12 0.7736 0.1474 0.7736  2 Ag 2.73
Ag3 0.0000 0.5000 0.0000  4 Cd 2.73

## Pr2DyTm3Te6 (PBE)

Data for an optimized crystal structure of Pr2DyTm3Te6.

Computed properties:
Energy relative to the elements, uncorrected, meV/atom: -1284
DFT total energy, eV/atom: -5.15

Unit cell a=4.3204 b=8.9126 c=9.9017 alpha=105.06 beta=102.60 gamma=90.00
Closest atoms and distances in Å follow each position.
Fractional positions:
Te1 0.6650 0.0711 0.3300  3 Tm 3.03, 1 Dy 3.08, 2 Pr 3.20
Pr1 0.8300 0.6610 0.6599  6 Te 3.17-3.27
Tm1 0.8277 0.1629 0.6553  6 Te 3.02-3.11
Te2 0.0053 0.7495 0.0105  3 Tm 3.08-3.11, 2 Dy 3.13, 1 Pr 3.27
Tm2 0.1723 0.8371 0.3447  6 Te 3.02-3.11
Te3 0.9947 0.2505 0.9895  3 Tm 3.08-3.11, 2 Dy 3.13, 1 Pr 3.27
Dy1 0.5000 0.0000 0.0000  6 Te 3.08-3.13
Tm3 0.5000 0.5000 0.0000  6 Te 2.99-3.08
Pr2 0.1700 0.3390 0.3401  6 Te 3.17-3.27
Te4 0.3394 0.4045 0.6787  3 Tm 2.99-3.02, 3 Pr 3.17-3.19
Te5 0.3350 0.9289 0.6700  3 Tm 3.03, 1 Dy 3.08, 2 Pr 3.20
Te6 0.6606 0.5955 0.3213  3 Tm 2.99-3.02, 3 Pr 3.17-3.19

## MnTeS2 (PBE)

Data for an optimized crystal structure of MnTeS2.

Computed properties:
Energy relative to the elements, uncorrected, meV/atom: -220
DFT total energy, eV/atom: -5.36

Unit cell a=5.2559 b=6.7189 c=7.2762 alpha=124.02 beta=110.91 gamma=87.25
Closest atoms and distances in Å follow each position.
Fractional positions:
Mn1 0.3302 0.4965 0.6856  4 S 2.14-2.24
S1 0.2501 0.3708 0.8765  2 Mn 2.14-2.17
S2 0.9217 0.5026 0.4702  2 Mn 2.14-2.17
S3 0.7674 0.6749 0.9608  2 Mn 2.14-2.24
Te1 0.4950 0.9558 0.8473  2 S 2.63-2.94, 1 Mn 2.67, 1 Te 2.89
Te2 0.6769 0.9175 0.4994  2 S 2.63-2.94, 1 Mn 2.67, 1 Te 2.89
Mn2 0.8416 0.3768 0.6610  4 S 2.14-2.24
S4 0.4044 0.1984 0.3858  2 Mn 2.14-2.24

## K6NaF8 (PBE)

Data for an optimized crystal structure of K6NaF8.

Computed properties:
Energy relative to the elements, uncorrected, meV/atom: -2509
DFT total energy, eV/atom: -4.03

Unit cell a=5.5383 b=7.7493 c=7.7493 alpha=120.00 beta=90.00 gamma=90.00
Closest atoms and distances in Å follow each position.
Fractional positions:
F1 0.0000 0.6667 0.3333  6 K 2.74
K1 0.2240 0.3717 0.9999  6 F 2.62-2.76
F2 0.2995 0.7241 0.0000  1 Na 2.41, 2 K 2.62
F3 0.0000 0.3333 0.6667  6 K 2.74
K2 0.7760 0.6283 0.0001  6 F 2.62-2.76
K3 0.2240 0.0001 0.3718  6 F 2.62-2.76
F4 0.7005 0.0000 0.2759  1 Na 2.41, 2 K 2.62
F5 0.7005 0.2759 0.0000  1 Na 2.41, 2 K 2.62
Na1 0.5000 0.0000 0.0000  6 F 2.41
K4 0.2240 0.6282 0.6283  6 F 2.62-2.76
K5 0.7760 0.9999 0.6282  6 F 2.62-2.76
K6 0.7760 0.3718 0.3717  6 F 2.62-2.76
F6 0.7005 0.7241 0.7241  1 Na 2.41, 2 K 2.62
F7 0.2995 0.2759 0.2759  1 Na 2.41, 2 K 2.62
F8 0.2995 0.0000 0.7241  1 Na 2.41, 2 K 2.62

> What is the formula in the first record?

Sr2TmCd12Ag3

> The highest DFT total energy belongs to which entry?

Sr2TmCd12Ag3

Please write out number 4 again, unchanged.
## K6NaF8 (PBE)

Data for an optimized crystal structure of K6NaF8.

Computed properties:
Energy relative to the elements, uncorrected, meV/atom: -2509
DFT total energy, eV/atom: -4.03

Unit cell a=5.5383 b=7.7493 c=7.7493 alpha=120.00 beta=90.00 gamma=90.00
Closest atoms and distances in Å follow each position.
Fractional positions:
F1 0.0000 0.6667 0.3333  6 K 2.74
K1 0.2240 0.3717 0.9999  6 F 2.62-2.76
F2 0.2995 0.7241 0.0000  1 Na 2.41, 2 K 2.62
F3 0.0000 0.3333 0.6667  6 K 2.74
K2 0.7760 0.6283 0.0001  6 F 2.62-2.76
K3 0.2240 0.0001 0.3718  6 F 2.62-2.76
F4 0.7005 0.0000 0.2759  1 Na 2.41, 2 K 2.62
F5 0.7005 0.2759 0.0000  1 Na 2.41, 2 K 2.62
Na1 0.5000 0.0000 0.0000  6 F 2.41
K4 0.2240 0.6282 0.6283  6 F 2.62-2.76
K5 0.7760 0.9999 0.6282  6 F 2.62-2.76
K6 0.7760 0.3718 0.3717  6 F 2.62-2.76
F6 0.7005 0.7241 0.7241  1 Na 2.41, 2 K 2.62
F7 0.2995 0.2759 0.2759  1 Na 2.41, 2 K 2.62
F8 0.2995 0.0000 0.7241  1 Na 2.41, 2 K 2.62